Record 1
A plane-wave DFT calculation with PBE was carried out for a geometry-optimized BaNaPmS3 structure.

a b c (Å): 8.7596 4.2716 9.2217
angles (deg): 90.00 105.23 90.00
Element x y z (fractional)
Ba 0.2071 0.2500 0.2370
Ba 0.7929 0.7500 0.7630
Na 0.0896 0.2500 0.5845
Na 0.9104 0.7500 0.4155
Pm 0.3289 0.7500 0.8398
Pm 0.6711 0.2500 0.1602
S 0.1192 0.2500 0.8745
S 0.2358 0.7500 0.5178
S 0.4505 0.7500 0.1565
S 0.5495 0.2500 0.8435
S 0.7642 0.2500 0.4822
S 0.8808 0.7500 0.1255

Summary:
* crystal system: monoclinic
* raw total energy: -0.18933 Ha/atom
* SG: P2_1/m

***

Record 2
A plane-wave DFT calculation with PBE was carried out for a geometry-optimized K5Br structure.

a b c (Å): 8.2695 8.2695 8.2695
angles (deg): 60.00 60.00 60.00
Element x y z (fractional)
K 0.0000 0.0000 0.0000
K 0.1275 0.6242 0.6242
K 0.6242 0.1275 0.6242
K 0.6242 0.6242 0.1275
K 0.6242 0.6242 0.6242
Br 0.2500 0.2500 0.2500

Summary:
* crystal system: cubic
* raw total energy: -0.05187 Ha/atom
* SG: F-43m

***

Record 3
A plane-wave DFT calculation with PBE was carried out for a geometry-optimized LuScCo4 structure.

a b c (Å): 4.9401 4.9401 4.9401
angles (deg): 60.00 60.00 60.00
Element x y z (fractional)
Lu 0.0000 0.0000 0.0000
Sc 0.7500 0.7500 0.7500
Co 0.3752 0.3752 0.3752
Co 0.3752 0.3752 0.8743
Co 0.3752 0.8743 0.3752
Co 0.8743 0.3752 0.3752

Summary:
* crystal system: cubic
* SG: F-43m
* energy of formation: -0.321 eV/atom

***

Record 4
A plane-wave DFT calculation with PBE was carried out for a geometry-optimized PuBiAu5 structure.

a b c (Å): 9.4901 5.5400 11.9896
angles (deg): 90.00 90.00 90.00
Element x y z (fractional)
Pu 0.1902 0.2500 0.1250
Pu 0.3098 0.7500 0.6250
Pu 0.6902 0.2500 0.3750
Pu 0.8098 0.7500 0.8750
Bi 0.0589 0.2500 0.3869
Bi 0.4411 0.7500 0.8869
Bi 0.5589 0.2500 0.1131
Bi 0.9411 0.7500 0.6131
Au 0.0736 0.7500 0.0301
Au 0.1184 0.7500 0.2681
Au 0.1311 0.5025 0.8301
Au 0.1311 0.9975 0.8301
Au 0.1402 0.2500 0.6136
Au 0.3598 0.7500 0.1136
Au 0.3689 0.0025 0.3301
Au 0.3689 0.4975 0.3301
Au 0.3816 0.2500 0.7681
Au 0.4264 0.2500 0.5301
Au 0.5736 0.7500 0.4699
Au 0.6184 0.7500 0.2319
Au 0.6311 0.5025 0.6699
Au 0.6311 0.9975 0.6699
Au 0.6402 0.2500 0.8864
Au 0.8598 0.7500 0.3864
Au 0.8689 0.0025 0.1699
Au 0.8689 0.4975 0.1699
Au 0.8816 0.2500 0.7319
Au 0.9264 0.2500 0.9699

Summary:
* crystal system: orthorhombic
* SG: Pnma
* energy of formation: -0.191 eV/atom

***

Record 5
A plane-wave DFT calculation with PBE was carried out for a geometry-optimized BPtW structure.

a b c (Å): 6.1490 6.1490 4.5159
angles (deg): 98.76 98.76 26.50
Element x y z (fractional)
B 0.2317 0.2317 0.3906
B 0.7683 0.7683 0.6094
Pt 0.4385 0.4385 0.7268
Pt 0.5615 0.5615 0.2732
W 0.1502 0.1502 0.8144
W 0.8498 0.8498 0.1856

Summary:
* crystal system: monoclinic
* SG: C2/m
* energy of formation: -0.122 eV/atom

***

Record 6
A plane-wave DFT calculation with PBE was carried out for a geometry-optimized Tb16Y6Tm7 structure.

a b c (Å): 11.0733 11.0733 11.0733
angles (deg): 60.00 60.00 60.00
Element x y z (fractional)
Tb 0.0415 0.6528 0.6528
Tb 0.1219 0.1219 0.1219
Tb 0.1219 0.1219 0.6343
Tb 0.1219 0.6343 0.1219
Tb 0.3472 0.3472 0.3472
Tb 0.3472 0.3472 0.9585
Tb 0.3472 0.9585 0.3472
Tb 0.3657 0.8781 0.8781
Tb 0.6343 0.1219 0.1219
Tb 0.6528 0.0415 0.6528
Tb 0.6528 0.6528 0.0415
Tb 0.6528 0.6528 0.6528
Tb 0.8781 0.3657 0.8781
Tb 0.8781 0.8781 0.3657
Tb 0.8781 0.8781 0.8781
Tb 0.9585 0.3472 0.3472
Y 0.2820 0.2820 0.7180
Y 0.2820 0.7180 0.2820
Y 0.2820 0.7180 0.7180
Y 0.7180 0.2820 0.2820
Y 0.7180 0.2820 0.7180
Y 0.7180 0.7180 0.2820
Tm 0.0000 0.0000 0.0000
Tm 0.0000 0.0000 0.5000
Tm 0.0000 0.5000 0.0000
Tm 0.0000 0.5000 0.5000
Tm 0.5000 0.0000 0.0000
Tm 0.5000 0.0000 0.5000
Tm 0.5000 0.5000 0.0000

Summary:
* crystal system: cubic
* SG: Fm-3m
* energy of formation: 0.216 eV/atom

***

Record 7
A plane-wave DFT calculation with PBE was carried out for a geometry-optimized KLaPt structure.

a b c (Å): 7.9391 7.9391 7.9391
angles (deg): 152.36 152.36 39.49
Element x y z (fractional)
K 0.0000 0.0000 0.0000
La 0.2465 0.2465 0.0000
Pt 0.6655 0.6655 0.0000

Summary:
* crystal system: tetragonal
* SG: I4mm
* energy of formation: -0.469 eV/atom

***

Record 8
A plane-wave DFT calculation with PBE was carried out for a geometry-optimized Ac6Rh2AuI2 structure.

a b c (Å): 7.7208 7.7208 8.7887
angles (deg): 98.10 98.10 119.60
Element x y z (fractional)
Ac 0.0883 0.4335 0.8091
Ac 0.2088 0.2088 0.1894
Ac 0.4335 0.0883 0.8091
Ac 0.5665 0.9117 0.1909
Ac 0.7912 0.7912 0.8106
Ac 0.9117 0.5665 0.1909
Rh 0.1695 0.8305 0.0000
Rh 0.8305 0.1695 0.0000
Au 0.5000 0.5000 0.0000
I 0.3374 0.6626 0.5000
I 0.6626 0.3374 0.5000

Summary:
* crystal system: monoclinic
* raw total energy: -0.18350 Ha/atom
* SG: C2/m

***

Record 9
A plane-wave DFT calculation with PBE was carried out for a geometry-optimized Ti2Cu4S5 structure.

a b c (Å): 15.6280 15.6280 15.6280
angles (deg): 13.37 13.37 13.37
Element x y z (fractional)
Ti 0.1396 0.1396 0.1396
Ti 0.8604 0.8604 0.8604
Cu 0.3135 0.3135 0.3135
Cu 0.4169 0.4169 0.4169
Cu 0.5831 0.5831 0.5831
Cu 0.6865 0.6865 0.6865
S 0.2268 0.2268 0.2268
S 0.3687 0.3687 0.3687
S 0.5000 0.5000 0.5000
S 0.6313 0.6313 0.6313
S 0.7732 0.7732 0.7732

Summary:
* crystal system: trigonal
* raw total energy: -0.19817 Ha/atom
* SG: R-3m

***

Record 10
A plane-wave DFT calculation with PBE was carried out for a geometry-optimized NbInRuRh structure.

a b c (Å): 4.6740 4.6740 4.6740
angles (deg): 125.17 125.17 81.25
Element x y z (fractional)
Nb 0.0000 0.0000 0.0000
In 0.5000 0.5000 0.0000
Ru 0.7500 0.2500 0.5000
Rh 0.2500 0.7500 0.5000

Summary:
* crystal system: tetragonal
* SG: I-4m2
* energy of formation: -0.318 eV/atom

***

Record 11
A plane-wave DFT calculation with PBE was carried out for a geometry-optimized CaCo2NiC structure.

a b c (Å): 3.8780 3.8780 3.9649
angles (deg): 90.00 90.00 90.00
Element x y z (fractional)
Ca 0.0000 0.0000 0.0000
Co 0.0000 0.5000 0.5000
Co 0.5000 0.0000 0.5000
Ni 0.5000 0.5000 0.0000
C 0.5000 0.5000 0.5000

Summary:
* crystal system: tetragonal
* SG: P4/mmm
* energy of formation: 0.050 eV/atom

***

Record 12
A plane-wave DFT calculation with PBE was carried out for a geometry-optimized Hf3MoP structure.

a b c (Å): 4.7526 4.7526 4.7526
angles (deg): 90.00 90.00 90.00
Element x y z (fractional)
Hf 0.0000 0.0000 0.5000
Hf 0.0000 0.5000 0.0000
Hf 0.5000 0.0000 0.0000
Mo 0.5000 0.5000 0.5000
P 0.0000 0.0000 0.0000

Summary:
* crystal system: cubic
* SG: Pm-3m
* energy of formation: 0.125 eV/atom

***

Record 13
A plane-wave DFT calculation with PBE was carried out for a geometry-optimized Nd6TmZn structure.

a b c (Å): 6.4135 6.4169 6.4176
angles (deg): 95.88 95.94 95.83
Element x y z (fractional)
Nd 0.0460 0.2636 0.0735
Nd 0.2366 0.9262 0.4541
Nd 0.4267 0.4537 0.7366
Nd 0.5733 0.5463 0.2634
Nd 0.7634 0.0738 0.5459
Nd 0.9540 0.7364 0.9265
Tm 0.5000 0.0000 0.0000
Zn 0.0000 0.5000 0.5000

Summary:
* crystal system: triclinic
* SG: P-1
* energy of formation: 0.026 eV/atom

***

Record 14
A plane-wave DFT calculation with PBE was carried out for a geometry-optimized La5Er3 structure.

a b c (Å): 10.3837 7.2740 7.2740
angles (deg): 90.21 90.00 90.00
Element x y z (fractional)
La 0.0000 0.0000 0.0000
La 0.0000 0.4879 0.9972
La 0.0000 0.9972 0.4879
La 0.2485 0.7420 0.7420
La 0.2550 0.2419 0.7421
La 0.2550 0.7421 0.2419
La 0.5000 0.4922 0.4922
La 0.7450 0.2419 0.7421
La 0.7450 0.7421 0.2419
La 0.7515 0.7420 0.7420
Er 0.0000 0.4884 0.4884
Er 0.2577 0.2430 0.2430
Er 0.5000 0.4884 0.9949
Er 0.5000 0.9943 0.9943
Er 0.5000 0.9949 0.4884
Er 0.7423 0.2430 0.2430

Summary:
* crystal system: orthorhombic
* SG: Amm2
* energy of formation: 0.019 eV/atom

***

Record 15
A plane-wave DFT calculation with PBE was carried out for a geometry-optimized Tl2RhAu structure.

a b c (Å): 4.9779 4.9779 3.3367
angles (deg): 90.00 90.00 99.61
Element x y z (fractional)
Tl 0.0000 0.5000 0.0000
Tl 0.5000 0.0000 0.0000
Rh 0.0000 0.0000 0.5000
Au 0.5000 0.5000 0.5000

Summary:
* crystal system: orthorhombic
* SG: Cmmm
* energy of formation: 0.188 eV/atom

***

Record 16
A plane-wave DFT calculation with PBE was carried out for a geometry-optimized Be9CrW2 structure.

a b c (Å): 4.3958 4.3958 13.8250
angles (deg): 90.00 90.00 120.00
Element x y z (fractional)
Be 0.0000 0.0000 0.0000
Be 0.0000 0.0000 0.2500
Be 0.0000 0.0000 0.5000
Be 0.0000 0.0000 0.7500
Be 0.1688 0.3375 0.1275
Be 0.1688 0.3375 0.3725
Be 0.1688 0.8312 0.1275
Be 0.1688 0.8312 0.3725
Be 0.3333 0.6667 0.2500
Be 0.3375 0.1688 0.6275
Be 0.3375 0.1688 0.8725
Be 0.6625 0.8312 0.1275
Be 0.6625 0.8312 0.3725
Be 0.6667 0.3333 0.7500
Be 0.8312 0.1688 0.6275
Be 0.8312 0.1688 0.8725
Be 0.8312 0.6625 0.6275
Be 0.8312 0.6625 0.8725
Cr 0.3333 0.6667 0.7500
Cr 0.6667 0.3333 0.2500
W 0.3333 0.6667 0.5324
W 0.3333 0.6667 0.9676
W 0.6667 0.3333 0.0324
W 0.6667 0.3333 0.4676

Summary:
* crystal system: hexagonal
* SG: P6_3/mmc
* energy of formation: -0.152 eV/atom

***

Record 17
A plane-wave DFT calculation with PBE was carried out for a geometry-optimized Pm2SmY2Ho structure.

a b c (Å): 6.6836 17.7567 3.4029
angles (deg): 90.00 90.00 90.00
Element x y z (fractional)
Pm 0.2374 0.1495 0.0000
Pm 0.2626 0.6495 0.5000
Pm 0.7374 0.3505 0.5000
Pm 0.7626 0.8505 0.0000
Sm 0.0000 0.0000 0.5000
Sm 0.5000 0.5000 0.0000
Y 0.2400 0.3207 0.5000
Y 0.2600 0.8207 0.0000
Y 0.7400 0.1793 0.0000
Y 0.7600 0.6793 0.5000
Ho 0.0000 0.5000 0.5000
Ho 0.5000 0.0000 0.0000

Summary:
* crystal system: orthorhombic
* SG: Pnnm
* energy of formation: 0.253 eV/atom

***

Record 18
A plane-wave DFT calculation with PBE was carried out for a geometry-optimized CaSiAs2 structure.

a b c (Å): 6.4004 6.4004 6.4004
angles (deg): 114.94 114.94 99.02
Element x y z (fractional)
Ca 0.0000 0.0000 0.0000
Ca 0.7500 0.2500 0.5000
Si 0.2500 0.7500 0.5000
Si 0.5000 0.5000 0.0000
As 0.1958 0.1250 0.5708
As 0.3750 0.8042 0.9292
As 0.5542 0.6250 0.4292
As 0.8750 0.4458 0.0708

Summary:
* crystal system: tetragonal
* raw total energy: -0.17434 Ha/atom
* SG: I-42d